[1]
This record from the Alexandria database describes a geometry-optimized GaSiTe2 structure. The functional is PBE.

Cell and atoms, written as CIF:
```
data_GaSiTe2
_symmetry_space_group_name_H-M 'P 1'
_symmetry_Int_Tables_number 1
_symmetry_space_group_name_Hall 'P 1'
_cell_length_a 5.091
_cell_length_b 5.091
_cell_length_c 5.091
_cell_angle_alpha 60.00
_cell_angle_beta 60.00
_cell_angle_gamma 60.00
loop_
_atom_site_label
_atom_site_fract_x
_atom_site_fract_y
_atom_site_fract_z
_atom_site_occupancy
Ga1 0.000 0.000 0.000 1
Si1 0.500 0.500 0.500 1
Te1 0.250 0.250 0.250 1
Te2 0.750 0.750 0.750 1
```

M_tot in μB per cell: 0.0
E above lowest polymorph in meV/atom: 170.7
Formation energy from raw total energies in eV per atom: 0.32
D(E_F) in states/eV per atom: 0.611
Calculated density in g/cm3: 6.28

[2]
This record from the Alexandria database describes a geometry-optimized RbTa2Se4 structure. The functional is PBE.

Cell and atoms, written as CIF:
```
data_RbTa2Se4
_symmetry_space_group_name_H-M 'P 1'
_symmetry_Int_Tables_number 1
_symmetry_space_group_name_Hall 'P 1'
_cell_length_a 6.898
_cell_length_b 6.898
_cell_length_c 9.900
_cell_angle_alpha 107.83
_cell_angle_beta 107.83
_cell_angle_gamma 96.84
loop_
_atom_site_label
_atom_site_fract_x
_atom_site_fract_y
_atom_site_fract_z
_atom_site_occupancy
Rb1 0.000 0.000 0.000 1
Rb2 0.751 0.249 0.500 1
Ta1 0.281 0.570 0.140 1
Ta2 0.430 0.140 0.860 1
Ta3 0.430 0.719 0.860 1
Ta4 0.860 0.570 0.140 1
Se1 0.114 0.403 0.289 1
Se2 0.115 0.826 0.712 1
Se3 0.159 0.395 0.848 1
Se4 0.174 0.885 0.288 1
Se5 0.547 0.311 0.152 1
Se6 0.597 0.886 0.711 1
Se7 0.605 0.841 0.152 1
Se8 0.689 0.453 0.848 1
```

M_tot in μB per cell: 0.0
E above lowest polymorph in meV/atom: 295.5
Formation energy from raw total energies in eV per atom: -0.62
D(E_F) in states/eV per atom: 0.648
Calculated density in g/cm3: 6.11

[3]
This record from the Alexandria database describes a geometry-optimized CaMgCuGe structure. The functional is PBE.

Cell and atoms, written as CIF:
```
data_CaMgCuGe
_symmetry_space_group_name_H-M 'P 1'
_symmetry_Int_Tables_number 1
_symmetry_space_group_name_Hall 'P 1'
_cell_length_a 4.819
_cell_length_b 4.819
_cell_length_c 4.819
_cell_angle_alpha 60.00
_cell_angle_beta 60.00
_cell_angle_gamma 60.00
loop_
_atom_site_label
_atom_site_fract_x
_atom_site_fract_y
_atom_site_fract_z
_atom_site_occupancy
Ca1 0.000 0.000 0.000 1
Mg1 0.500 0.500 0.500 1
Cu1 0.250 0.250 0.250 1
Ge1 0.750 0.750 0.750 1
```

Formation energy from the elements in eV per atom: -0.23
M_tot in μB per cell: 0.0
D(E_F) in states/eV per atom: 0.595
Calculated density in g/cm3: 4.21

Among the records above, which one has the highest calculated density?
GaSiTe2

Which of these has the highest calculated density?
GaSiTe2